A geometry-optimized InOs2Se structure. Source: Alexandria via LeMat-Bulk, functional GGA-PBE.

The calculation puts the total energy at -6.70 eV per atom. Its formation energy from raw total energies is 0.466 eV/atom. Its excess energy over the best structure of this formula in the dataset is 145 meV/atom.

Lattice parameters (Å, degrees): 2.9081 2.9081 29.9667 90.00 90.00 120.00
Space group R3m (No. 160, hexagonal axes)
One atom of each set of equivalent atoms:
In 0.0000 0.0000 0.0000 [3 per cell]
Os 0.0000 0.0000 0.4841 [3 per cell]
Os 0.0000 0.0000 0.7486 [3 per cell]
Se 0.0000 0.0000 0.2170 [3 per cell]

=====

A geometry-optimized Sr2ScBr structure. Source: Alexandria via LeMat-Bulk, functional GGA-PBE.

The calculation puts the total energy at -3.34 eV per atom. Its formation energy from raw total energies is -0.495 eV/atom. Its excess energy over the best structure of this formula in the dataset is 32 meV/atom.

Lattice parameters (Å, degrees): 3.782 3.782 9.852 90.00 90.00 90.00
Space group P4/mmm (No. 123)
One atom of each set of equivalent atoms:
Sr 0.000 0.000 0.236 [2 per cell]
Sc 0.500 0.500 0.500 [1 per cell]
Br 0.500 0.500 0.000 [1 per cell]

=====

A geometry-optimized Sr2RuW structure. Source: Alexandria via LeMat-Bulk, functional GGA-PBE.

The calculation puts the total energy at -5.21 eV per atom. Its excess energy over the best structure of this formula in the dataset is 855 meV/atom.

Lattice parameters (Å, degrees): 3.065 5.144 5.675 90.00 90.00 90.00
Space group Pmmm (No. 47)
One atom of each set of equivalent atoms:
Sr 0.000 0.000 0.246 [2 per cell]
Ru 0.500 0.500 0.000 [1 per cell]
W 0.500 0.500 0.500 [1 per cell]

=====

Question: Among the records above, which one has the highest total energy?
Answer: Sr2ScBr

=====

Question: Among the records above, which one has the highest total energy?
Answer: Sr2ScBr